Crystalline Th6Pt2C at its relaxed geometry. Source: Alexandria, functional PBE.

Summary:
* ρ: 12.30 g/cm³
* DFT total energy: -7.926 eV/atom

Structure (POSCAR):
```
Th6Pt2C
1.0
6.471 0.000 0.000
0.000 7.288 0.000
-6.042 0.000 10.276
Th Pt C
12 4 2
direct
0.087 0.037 0.236
0.087 0.463 0.736
0.216 0.691 0.060
0.216 0.809 0.560
0.385 0.179 0.056
0.385 0.321 0.556
0.615 0.679 0.444
0.615 0.821 0.944
0.784 0.191 0.440
0.784 0.309 0.940
0.913 0.537 0.264
0.913 0.963 0.764
0.338 0.113 0.754
0.338 0.387 0.254
0.662 0.613 0.746
0.662 0.887 0.246
0.000 0.000 0.000
0.000 0.500 0.500
```



Crystalline SrZnBr2 at its relaxed geometry. Source: Alexandria, functional PBE.

Summary:
* raw formation energy: -1.191 eV per atom
* ρ: 3.16 g/cm³
* DFT total energy: -2.766 eV/atom
* relative energy among the computed polymorphs: 0.130 eV per atom

Structure (POSCAR):
```
SrZnBr2
1.0
9.116 0.000 0.000
0.000 9.116 0.000
0.000 0.000 7.901
Sr Zn Br
4 4 8
direct
0.000 0.000 0.000
0.000 0.500 0.250
0.500 0.000 0.750
0.500 0.500 0.500
0.000 0.000 0.500
0.000 0.500 0.750
0.500 0.000 0.250
0.500 0.500 0.000
0.179 0.750 0.125
0.250 0.179 0.875
0.250 0.321 0.375
0.321 0.750 0.625
0.679 0.250 0.625
0.750 0.679 0.375
0.750 0.821 0.875
0.821 0.250 0.125
```



Crystalline PuNpIr2 at its relaxed geometry. Source: Alexandria, functional PBE.

Summary:
* ρ: 18.19 g/cm³
* DFT total energy: -11.598 eV/atom
* relative energy among the computed polymorphs: 0.000 eV per atom

Structure (POSCAR):
```
PuNpIr2
1.0
3.626 0.000 0.000
0.000 3.626 0.000
0.000 0.000 6.006
Pu Np Ir
1 1 2
direct
0.000 0.000 0.000
0.000 0.000 0.500
0.500 0.500 0.253
0.500 0.500 0.747
```



Crystalline CaY2Mo at its relaxed geometry. Source: Alexandria, functional PBE.

Summary:
* ρ: 4.93 g/cm³
* DFT total energy: -5.856 eV/atom
* relative energy among the computed polymorphs: 0.325 eV per atom

Structure (POSCAR):
```
CaY2Mo
1.0
6.865 0.000 0.000
0.000 9.059 0.000
0.000 0.000 3.402
Ca Y Mo
2 4 2
direct
0.000 0.000 0.000
0.500 0.500 0.000
0.250 0.250 0.500
0.250 0.750 0.500
0.750 0.250 0.500
0.750 0.750 0.500
0.000 0.500 0.000
0.500 0.000 0.000
```